# LaCoO3

A geometry-optimized LaCoO3 structure (GGA+U, OQMD via LeMat-Bulk).

Summary:
The total energy comes out at -7.210 eV/atom. Its total magnetization is 2.00 μB/f.u.

a = 7.695 Å, b = 5.481 Å, c = 5.419 Å
α = 90.00°, β = 90.13°, γ = 90.00°
Fractional coordinates of all 20 atoms:
1 La 0.250 0.003 0.019
2 La 0.250 0.497 0.519
3 La 0.750 0.503 0.481
4 La 0.750 0.997 0.981
5 Co 0.000 0.000 0.500
6 Co 0.000 0.500 0.000
7 Co 0.500 0.000 0.500
8 Co 0.500 0.500 0.000
9 O 0.035 0.223 0.777
10 O 0.035 0.277 0.277
11 O 0.250 0.565 0.992
12 O 0.250 0.935 0.492
13 O 0.464 0.228 0.772
14 O 0.464 0.272 0.272
15 O 0.536 0.728 0.728
16 O 0.536 0.772 0.228
17 O 0.750 0.065 0.508
18 O 0.750 0.435 0.008
19 O 0.965 0.723 0.723
20 O 0.965 0.777 0.223